Entry 1:
Entry from the Alexandria database: CuRuSCl2 at its PBEsol-relaxed geometry (SCAN).

Computed properties:
E (eV per formula unit): -73.00

abc: 4.4893 4.4893 4.6348
angles: 90.00 90.00 90.00
Closest atoms and distances in Å follow each position.
Space group P4/mmm (No. 123)
Symmetry-distinct sites (fractional):
Cu (0.0000, 0.0000, 0.0000)  4 Cl 2.24, 2 S 2.32
Ru (0.5000, 0.5000, 0.5000)  4 S 3.17, 8 Cl 3.23
S (0.0000, 0.0000, 0.5000)  2 Cu 2.32
Cl (0.0000, 0.5000, 0.0000)  2 Cu 2.24

***

Entry 2:
Entry from the Alexandria database: Cu2SCl at its PBEsol-relaxed geometry (SCAN).

Computed properties:
E (eV per formula unit): -49.62

abc: 5.2352 5.2352 10.4776
angles: 90.00 90.00 90.00
Closest atoms and distances in Å follow each position.
Space group I-42d (No. 122)
Symmetry-distinct sites (fractional):
Cu (0.2194, 0.2500, 0.1250)  2 S 2.18, 2 Cl 2.36
S (0.0000, 0.0000, 0.0000)  4 Cu 2.18
Cl (0.0000, 0.0000, 0.5000)  4 Cu 2.36

***

Entry 3:
Entry from the Alexandria database: Cu3SCl at its PBEsol-relaxed geometry (SCAN).

Computed properties:
E (eV per formula unit): -60.58

abc: 4.3263 4.3263 4.3263
angles: 90.00 90.00 90.00
Closest atoms and distances in Å follow each position.
Space group Pm-3m (No. 221)
Symmetry-distinct sites (fractional):
Cu (0.0000, 0.0000, 0.5000)  2 Cl 2.16
S (0.5000, 0.5000, 0.5000)  12 Cu 3.06
Cl (0.0000, 0.0000, 0.0000)  6 Cu 2.16

***

Entry 4:
Entry from the Alexandria database: ScCuSCl2 at its PBEsol-relaxed geometry (SCAN).

Computed properties:
E (eV per formula unit): -59.83

abc: 4.8079 4.8079 4.9824
angles: 90.00 90.00 90.00
Closest atoms and distances in Å follow each position.
Space group P4/mmm (No. 123)
Symmetry-distinct sites (fractional):
Sc (0.0000, 0.0000, 0.0000)  4 Cl 2.40, 2 S 2.49
Cu (0.5000, 0.5000, 0.5000)  4 S 3.40, 8 Cl 3.46
S (0.0000, 0.0000, 0.5000)  2 Sc 2.49
Cl (0.0000, 0.5000, 0.0000)  2 Sc 2.40

***

Entry 5:
Entry from the Alexandria database: CuTeSCl at its PBEsol-relaxed geometry (SCAN).

Computed properties:
E (eV per formula unit): -71.44

abc: 7.7134 4.7608 11.5378
angles: 90.00 116.63 90.00
Closest atoms and distances in Å follow each position.
Space group P2_1/c (No. 14)
Symmetry-distinct sites (fractional):
Cu (0.1836, 0.1350, 0.2507)  1 S 2.22, 2 Cl 2.28-2.34
Te (0.2805, 0.5051, 0.1376)  2 S 2.40-2.53, 1 Cu 2.50
S (0.4163, 0.6858, 0.8377)  1 Cu 2.22, 1 Te 2.40
Cl (0.0790, 0.1459, 0.8833)  2 Cu 2.28-2.34

***

Entry 6:
Entry from the Alexandria database: TiCuSCl2 at its PBEsol-relaxed geometry (SCAN).

Computed properties:
E (eV per formula unit): -59.73

abc: 4.6493 4.6493 4.7071
angles: 90.00 90.00 90.00
Closest atoms and distances in Å follow each position.
Space group P4/mmm (No. 123)
Symmetry-distinct sites (fractional):
Ti (0.0000, 0.0000, 0.0000)  4 Cl 2.32, 2 S 2.35
Cu (0.5000, 0.5000, 0.5000)  4 S 3.29, 8 Cl 3.31
S (0.0000, 0.0000, 0.5000)  2 Ti 2.35
Cl (0.0000, 0.5000, 0.0000)  2 Ti 2.32

***

Entry 7:
Entry from the Alexandria database: YCuS2Cl at its PBEsol-relaxed geometry (SCAN).

Computed properties:
E (eV per formula unit): -73.00

abc: 5.1682 5.1682 5.0913
angles: 90.00 90.00 90.00
Closest atoms and distances in Å follow each position.
Space group P4/mmm (No. 123)
Symmetry-distinct sites (fractional):
Y (0.0000, 0.0000, 0.0000)  2 Cl 2.55, 4 S 2.58
Cu (0.5000, 0.5000, 0.5000)  8 S 3.63, 4 Cl 3.65
S (0.0000, 0.5000, 0.0000)  2 Y 2.58
Cl (0.0000, 0.0000, 0.5000)  2 Y 2.55

***

Entry 8:
Entry from the Alexandria database: CuSbCl2 at its PBEsol-relaxed geometry (SCAN).

Computed properties:
Excess energy over the best structure of this formula in the dataset (eV/atom): 0.000
E (eV per formula unit): -70.02

abc: 4.9529 3.2598 5.4257
angles: 90.00 103.29 90.00
Closest atoms and distances in Å follow each position.
Space group Pm (No. 6)
Symmetry-distinct sites (fractional):
Cu (0.0000, 0.0000, 0.0000)  3 Cl 2.30-2.37
Sb (0.3395, 0.5000, 0.2995)  2 Cu 2.62, 3 Cl 2.65-2.93
Cl (0.0177, 0.0000, 0.5792)  1 Cu 2.30
Cl (0.6447, 0.5000, 0.9582)  2 Cu 2.37, 1 Sb 2.65

***

Entry 9:
Entry from the Alexandria database: CuSbCl2 at its PBEsol-relaxed geometry (SCAN).

Computed properties:
Excess energy over the best structure of this formula in the dataset (eV/atom): 0.094
E (eV per formula unit): -69.65

abc: 3.6441 5.8886 8.2161
angles: 90.00 90.00 90.00
Closest atoms and distances in Å follow each position.
Space group Cmm2 (No. 35)
Symmetry-distinct sites (fractional):
Cu (0.0000, 0.0000, 0.0000)  2 Cl 2.22
Sb (0.0000, 0.5000, 0.7738)  2 Cu 2.60, 2 Cl 2.74
Cl (0.0000, 0.0000, 0.5240)  2 Sb 2.74
Cl (0.0000, 0.5000, 0.1534)  2 Cu 2.22

***

Entry 10:
Entry from the Alexandria database: ScCu2Cl at its PBEsol-relaxed geometry (SCAN).

Computed properties:
Excess energy over the best structure of this formula in the dataset (eV/atom): 0.182
E (eV per formula unit): -53.16

abc: 3.5700 3.5700 5.0615
angles: 90.00 90.00 90.00
Closest atoms and distances in Å follow each position.
Space group P4/mmm (No. 123)
Symmetry-distinct sites (fractional):
Sc (0.0000, 0.0000, 0.0000)  2 Cl 2.53, 8 Cu 2.79
Cu (0.5000, 0.5000, 0.2364)  2 Cu 2.39-2.67
Cl (0.0000, 0.0000, 0.5000)  2 Sc 2.53

***

Entry 11:
Entry from the Alexandria database: ScCu2Cl at its PBEsol-relaxed geometry (SCAN).

Computed properties:
Excess energy over the best structure of this formula in the dataset (eV/atom): 0.149
E (eV per formula unit): -53.29

abc: 3.2733 3.2733 22.1781
angles: 90.00 90.00 120.00
Closest atoms and distances in Å follow each position.
Space group R-3m (No. 166, hexagonal axes)
Symmetry-distinct sites (fractional):
Sc (0.0000, 0.0000, 0.0000)  6 Cu 2.70
Cu (0.0000, 0.0000, 0.2462)  3 Cl 2.59, 3 Sc 2.70
Cl (0.0000, 0.0000, 0.5000)  6 Cu 2.59

***

Entry 12:
Entry from the Alexandria database: ScCuCl2 at its PBEsol-relaxed geometry (SCAN).

Computed properties:
Excess energy over the best structure of this formula in the dataset (eV/atom): 0.439
E (eV per formula unit): -48.31

abc: 6.1371 8.0465 3.3582
angles: 90.00 119.58 90.00
Closest atoms and distances in Å follow each position.
Space group C2/m (No. 12)
Symmetry-distinct sites (fractional):
Sc (0.0000, 0.0000, 0.0000)  4 Cl 2.53
Cu (0.0000, 0.5000, 0.0000)  4 Cl 2.53
Cl (0.2500, 0.2500, 0.0000)  2 Sc 2.53, 2 Cu 2.53